DFT (PBE-GGA) results for a geometry-optimized ZrTaTeN2 structure.

Cell lengths 4.1520, 4.1520, 5.7063 Å; angles 90.00, 90.00, 90.00 degrees
Last column: nearest neighbours and their distance in Å.
Sites, in units of the cell vectors:
N  0.5000  0.0000  0.0000  2 Zr 2.08
N  0.0000  0.5000  0.0000  2 Zr 2.08
Te  0.0000  0.0000  0.5000  2 Zr 2.85, 4 Ta 2.94
Ta  0.5000  0.5000  0.5000  4 Te 2.94
Zr  0.0000  0.0000  0.0000  4 N 2.08

* E_tot: -7.13 eV/atom
* formation energy from raw total energies: 87.5 kJ per mole of atoms
* V: 98 Å³ per cell

=====

DFT (PBE-GGA) results for a geometry-optimized ZrTaTeN2 structure.

Cell lengths 4.0836, 4.0836, 5.5320 Å; angles 90.00, 90.00, 90.00 degrees
Last column: nearest neighbours and their distance in Å.
Sites, in units of the cell vectors:
Te  0.0000  0.0000  0.5000  2 Ta 2.77, 4 Zr 2.89
Ta  0.0000  0.0000  0.0000  4 N 2.04
Zr  0.5000  0.5000  0.5000  4 Te 2.89
N  0.5000  0.0000  0.0000  2 Ta 2.04
N  0.0000  0.5000  0.0000  2 Ta 2.04

* E_tot: -7.90 eV/atom
* formation energy from raw total energies: 13.1 kJ per mole of atoms
* V: 92 Å³ per cell